# 1
First-principles (PBE-GGA) data for an optimized crystal structure of In3BAs, as listed in the Alexandria database.

Values from the calculation:
- distance to the lowest polymorph of the same formula (eV/f.u.) = 0.000
- formation enthalpy at 0 K (meV/atom) = 443
- DOS at the Fermi energy (states/eV/cell) = 1.38
- crystal system = cubic

a = 4.7617 Å, b = 4.7617 Å, c = 4.7617 Å
α = 90.00°, β = 90.00°, γ = 90.00°
Fractional coordinates of all 5 atoms:
In 0.0000 0.0000 0.5000
In 0.0000 0.5000 0.0000
In 0.5000 0.0000 0.0000
B 0.0000 0.0000 0.0000
As 0.5000 0.5000 0.5000

# 2
First-principles (PBE-GGA) data for an optimized crystal structure of RbCoSb2, as listed in the Alexandria database.

Values from the calculation:
- distance to the lowest polymorph of the same formula (eV/f.u.) = 3.212
- formation energy without anion corrections (kJ/mol of atoms) = 62.3
- DOS at the Fermi energy (states/eV/cell) = 2.25
- crystal system = cubic

a = 5.1625 Å, b = 5.1625 Å, c = 5.1625 Å
α = 60.00°, β = 60.00°, γ = 60.00°
Fractional coordinates of all 4 atoms:
Rb 0.0000 0.0000 0.0000
Co 0.5000 0.5000 0.5000
Sb 0.2500 0.2500 0.2500
Sb 0.7500 0.7500 0.7500

# 3
First-principles (PBE-GGA) data for an optimized crystal structure of LiYB2Ir, as listed in the Alexandria database.

Values from the calculation:
- formation enthalpy at 0 K (meV/atom) = 1880
- DOS at the Fermi energy (states/eV/cell) = 4.61
- crystal system = tetragonal

a = 4.7606 Å, b = 4.7606 Å, c = 5.1696 Å
α = 90.00°, β = 90.00°, γ = 90.00°
Fractional coordinates of all 5 atoms:
Li 0.0000 0.0000 0.0000
Y 0.5000 0.5000 0.5000
B 0.0000 0.5000 0.5000
B 0.5000 0.0000 0.5000
Ir 0.5000 0.5000 0.0000

# 4
First-principles (PBE-GGA) data for an optimized crystal structure of KAg2GeW, as listed in the Alexandria database.

Values from the calculation:
- formation enthalpy at 0 K (meV/atom) = 2289
- DOS at the Fermi energy (states/eV/cell) = 3.49
- crystal system = tetragonal

a = 5.1168 Å, b = 5.1168 Å, c = 5.3855 Å
α = 90.00°, β = 90.00°, γ = 90.00°
Fractional coordinates of all 5 atoms:
K 0.0000 0.0000 0.0000
Ag 0.0000 0.5000 0.0000
Ag 0.5000 0.0000 0.0000
Ge 0.0000 0.0000 0.5000
W 0.5000 0.5000 0.5000

# 5
First-principles (PBE-GGA) data for an optimized crystal structure of BaZrAs2Br, as listed in the Alexandria database.

Values from the calculation:
- distance to the lowest polymorph of the same formula (eV/f.u.) = 8.883
- formation energy without anion corrections (kJ/mol of atoms) = 76.2
- DOS at the Fermi energy (states/eV/cell) = 4.65
- crystal system = tetragonal

a = 5.7593 Å, b = 5.7593 Å, c = 5.8197 Å
α = 90.00°, β = 90.00°, γ = 90.00°
Fractional coordinates of all 5 atoms:
Ba 0.0000 0.0000 0.0000
Zr 0.5000 0.5000 0.5000
As 0.0000 0.5000 0.0000
As 0.5000 0.0000 0.0000
Br 0.0000 0.0000 0.5000

# 6
First-principles (PBE-GGA) data for an optimized crystal structure of Ba2SrAg, as listed in the Alexandria database.

Values from the calculation:
- distance to the lowest polymorph of the same formula (eV/f.u.) = 0.233
- formation enthalpy at 0 K (meV/atom) = -88
- DOS at the Fermi energy (states/eV/cell) = 4.66
- crystal system = monoclinic

a = 7.8143 Å, b = 7.8143 Å, c = 6.4899 Å
α = 114.50°, β = 114.50°, γ = 31.51°
Fractional coordinates of all 4 atoms:
Ba 0.0000 0.0000 0.0000
Ba 0.1897 0.1897 0.6895
Sr 0.8095 0.8095 0.3095
Ag 0.4933 0.4933 0.4950

# 7
First-principles (PBE-GGA) data for an optimized crystal structure of Zr3Cd5S12, as listed in the Alexandria database.

Values from the calculation:
- formation energy without anion corrections (kJ/mol of atoms) = -65.6
- DOS at the Fermi energy (states/eV/cell) = 21.34
- crystal system = cubic

a = 13.2479 Å, b = 13.2479 Å, c = 13.2479 Å
α = 109.47°, β = 109.47°, γ = 109.47°
Fractional coordinates of all 80 atoms:
Zr 0.1250 0.2500 0.3750
Zr 0.1250 0.3750 0.7500
Zr 0.2500 0.3750 0.1250
Zr 0.2500 0.8750 0.6250
Zr 0.3750 0.1250 0.2500
Zr 0.3750 0.7500 0.1250
Zr 0.6250 0.2500 0.8750
Zr 0.6250 0.8750 0.7500
Zr 0.7500 0.1250 0.3750
Zr 0.7500 0.6250 0.8750
Zr 0.8750 0.6250 0.2500
Zr 0.8750 0.7500 0.6250
Cd 0.0000 0.0000 0.0000
Cd 0.0000 0.0000 0.5000
Cd 0.0000 0.5000 0.0000
Cd 0.0000 0.5000 0.5000
Cd 0.1250 0.7500 0.8750
Cd 0.1250 0.8750 0.2500
Cd 0.2500 0.1250 0.8750
Cd 0.2500 0.6250 0.3750
Cd 0.3750 0.2500 0.6250
Cd 0.3750 0.6250 0.7500
Cd 0.5000 0.0000 0.0000
Cd 0.5000 0.0000 0.5000
Cd 0.5000 0.5000 0.0000
Cd 0.5000 0.5000 0.5000
Cd 0.6250 0.3750 0.2500
Cd 0.6250 0.7500 0.3750
Cd 0.7500 0.3750 0.6250
Cd 0.7500 0.8750 0.1250
Cd 0.8750 0.1250 0.7500
Cd 0.8750 0.2500 0.1250
S 0.0581 0.2302 0.1392
S 0.0581 0.3280 0.9189
S 0.0811 0.6392 0.4090
S 0.0811 0.9419 0.6720
S 0.0910 0.7302 0.6720
S 0.0910 0.8608 0.4189
S 0.1392 0.0581 0.2302
S 0.1392 0.5811 0.9090
S 0.1720 0.2302 0.5910
S 0.1720 0.4419 0.5811
S 0.2302 0.1392 0.0581
S 0.2302 0.5910 0.1720
S 0.2698 0.3280 0.9090
S 0.2698 0.4419 0.3608
S 0.3280 0.9090 0.2698
S 0.3280 0.9189 0.0581
S 0.3608 0.2698 0.4419
S 0.3608 0.5910 0.9189
S 0.4090 0.0811 0.6392
S 0.4090 0.8280 0.7698
S 0.4189 0.0910 0.8608
S 0.4189 0.8280 0.5581
S 0.4419 0.3608 0.2698
S 0.4419 0.5811 0.1720
S 0.5581 0.4189 0.8280
S 0.5581 0.6392 0.7302
S 0.5811 0.1720 0.4419
S 0.5811 0.9090 0.1392
S 0.5910 0.1720 0.2302
S 0.5910 0.9189 0.3608
S 0.6392 0.4090 0.0811
S 0.6392 0.7302 0.5581
S 0.6720 0.0811 0.9419
S 0.6720 0.0910 0.7302
S 0.7302 0.5581 0.6392
S 0.7302 0.6720 0.0910
S 0.7698 0.4090 0.8280
S 0.7698 0.8608 0.9419
S 0.8280 0.5581 0.4189
S 0.8280 0.7698 0.4090
S 0.8608 0.4189 0.0910
S 0.8608 0.9419 0.7698
S 0.9090 0.1392 0.5811
S 0.9090 0.2698 0.3280
S 0.9189 0.0581 0.3280
S 0.9189 0.3608 0.5910
S 0.9419 0.6720 0.0811
S 0.9419 0.7698 0.8608

# 8
First-principles (PBE-GGA) data for an optimized crystal structure of TcTe2Se, as listed in the Alexandria database.

Values from the calculation:
- formation energy without anion corrections (kJ/mol of atoms) = 65.2
- DOS at the Fermi energy (states/eV/cell) = 3.80
- crystal system = tetragonal

a = 5.0668 Å, b = 5.0668 Å, c = 3.3176 Å
α = 90.00°, β = 90.00°, γ = 90.00°
Fractional coordinates of all 4 atoms:
Tc 0.0000 0.0000 0.0000
Te 0.0000 0.5000 0.5000
Te 0.5000 0.0000 0.5000
Se 0.5000 0.5000 0.0000